Below is a geometry-optimized CoSeI2O structure, with properties calculated at the GGA+U level.

```
CoSeI2O
1.0
5.840 0.000 0.000
0.000 5.840 0.000
0.000 0.000 3.822
I O Se Co
2 1 1 1
Direct
0.000 0.500 0.000 I
0.500 0.000 0.000 I
0.000 0.000 0.500 O
0.000 0.000 0.000 Se
0.500 0.500 0.500 Co
```

## Properties
E (eV per atom): -2.86
Total magnetic moment (μB/atom): 0.55
Energy relative to the lowest polymorph listed for this composition (meV per atom): 334.9
Space-group type: No. 123